Here is a relaxed structure of NdTlHgSe3 from OQMD. Energies are from PBE.

a = 14.454 Å, b = 4.331 Å, c = 11.493 Å
α = 90.00°, β = 90.00°, γ = 90.00°
Fractional positions:
Hg 0.979 0.750 0.107
Hg 0.479 0.750 0.393
Hg 0.521 0.250 0.607
Hg 0.021 0.250 0.893
Nd 0.470 0.250 0.156
Nd 0.970 0.250 0.344
Nd 0.030 0.750 0.656
Nd 0.530 0.750 0.844
Se 0.598 0.750 0.081
Se 0.094 0.250 0.122
Se 0.343 0.750 0.237
Se 0.843 0.750 0.263
Se 0.594 0.250 0.378
Se 0.098 0.750 0.419
Se 0.902 0.250 0.581
Se 0.406 0.750 0.622
Se 0.157 0.250 0.737
Se 0.657 0.250 0.763
Se 0.906 0.750 0.878
Se 0.402 0.250 0.919
Tl 0.757 0.250 0.045
Tl 0.257 0.250 0.455
Tl 0.743 0.750 0.545
Tl 0.243 0.750 0.955

Computed properties:
**Energy above the most stable polymorph in this dataset**: 0.014 eV/atom
**Symmetry**: Pnma, No. 62
**Size of the total moment**: 0.0004 μB per atom

Here is a relaxed structure of LiNbNiTe3 from OQMD. Energies are from PBE.

a = 7.358 Å, b = 7.358 Å, c = 10.230 Å
α = 90.00°, β = 90.00°, γ = 151.29°
Fractional positions:
Li 0.726 0.274 0.250
Li 0.274 0.726 0.750
Nb 0.500 0.500 0.000
Nb 0.500 0.500 0.500
Ni 0.030 0.970 0.250
Ni 0.970 0.030 0.750
Te 0.143 0.857 0.063
Te 0.406 0.594 0.250
Te 0.143 0.857 0.437
Te 0.857 0.143 0.563
Te 0.594 0.406 0.750
Te 0.857 0.143 0.937

Computed properties:
**Total DFT energy (no corrections)**: -4.96 eV per atom
**Symmetry**: Cmcm, No. 63
**Size of the total moment**: 0.0000 μB per atom

Here is a relaxed structure of HoSi from OQMD. Energies are from PBE.

a = 3.629 Å, b = 3.629 Å, c = 4.139 Å
α = 90.00°, β = 90.00°, γ = 120.00°
Fractional positions:
Ho 0.667 0.333 0.750
Si 0.333 0.667 0.250

Computed properties:
**Total DFT energy (no corrections)**: -5.26 eV per atom
**Symmetry**: P-6m2, No. 187
**Size of the total moment**: 0.0046 μB per atom